The following is a PBE-GGA calculation of a geometry-optimized Tb6NdHo2Tm structure, from Alexandria.

Output
The value obtained for the formation enthalpy at 0 K is 119 meV per atom. Its space group is C2/c, No. 15.

Unit cell a=9.523 b=8.785 c=8.785 alpha=117.64 beta=93.58 gamma=93.58
Fractional positions:
Nd 0.250 0.975 0.025
Nd 0.750 0.025 0.975
Tm 0.250 0.410 0.590
Tm 0.750 0.590 0.410
Ho 0.047 0.305 0.201
Ho 0.547 0.201 0.305
Ho 0.953 0.695 0.799
Ho 0.453 0.799 0.695
Tb 0.444 0.248 0.877
Tb 0.816 0.435 0.985
Tb 0.184 0.565 0.015
Tb 0.118 0.708 0.491
Tb 0.684 0.015 0.565
Tb 0.944 0.877 0.248
Tb 0.382 0.509 0.292
Tb 0.882 0.292 0.509
Tb 0.618 0.491 0.708
Tb 0.316 0.985 0.435
Tb 0.556 0.752 0.123
Tb 0.056 0.123 0.752